Record 1
# FeNiGeMo | Alexandria via LeMat-Bulk | GGA-PBE | optimized geometry
# **Size of the total moment**: 7.29 μB per cell
# **Raw total energy**: -7.3982 eV/atom
data_FeNiGeMo
_symmetry_space_group_name_H-M 'F -4 3 m'
_symmetry_Int_Tables_number 216
_symmetry_space_group_name_Hall 'F -4 2 3'
_cell_length_a 5.9499
_cell_length_b 5.9499
_cell_length_c 5.9499
_cell_angle_alpha 90.00
_cell_angle_beta 90.00
_cell_angle_gamma 90.00
loop_
_atom_site_label
_atom_site_type_symbol
_atom_site_fract_x
_atom_site_fract_y
_atom_site_fract_z
Fe1 Fe 0.0000 0.0000 0.0000
Ni1 Ni 0.2500 0.2500 0.2500
Ge1 Ge 0.0000 0.0000 0.5000
Mo1 Mo 0.2500 0.2500 0.7500

---

Record 2
# Na3TcCl8 | Alexandria via LeMat-Bulk | GGA-PBE | optimized geometry
# **Size of the total moment**: 6.09 μB per cell
# **Uncorrected formation energy**: -110 kJ per mole of atoms
data_Na3TcCl8
_symmetry_space_group_name_H-M 'C 2 2 2'
_symmetry_Int_Tables_number 21
_symmetry_space_group_name_Hall 'C 2 2'
_cell_length_a 7.1007
_cell_length_b 11.7049
_cell_length_c 8.3388
_cell_angle_alpha 90.00
_cell_angle_beta 90.00
_cell_angle_gamma 90.00
loop_
_atom_site_label
_atom_site_type_symbol
_atom_site_fract_x
_atom_site_fract_y
_atom_site_fract_z
Na1 Na 0.0000 0.0000 0.0000
Na2 Na 0.2500 0.2500 0.7562
Tc1 Tc 0.0000 0.0000 0.5000
Cl1 Cl 0.0000 0.2015 0.5000
Cl2 Cl 0.0000 0.2330 0.0000
Cl3 Cl 0.2345 0.0044 0.7005

---

Record 3
# BaZrSe4 | Alexandria via LeMat-Bulk | GGA-PBE | optimized geometry
# **Size of the total moment**: 0.00 μB per cell
# **Uncorrected formation energy**: -116 kJ per mole of atoms
data_BaZrSe4
_symmetry_space_group_name_H-M 'C 1 2/c 1'
_symmetry_Int_Tables_number 15
_symmetry_space_group_name_Hall '-C 2yc'
_cell_length_a 10.2609
_cell_length_b 11.6940
_cell_length_c 7.0252
_cell_angle_alpha 90.00
_cell_angle_beta 125.37
_cell_angle_gamma 90.00
loop_
_atom_site_label
_atom_site_type_symbol
_atom_site_fract_x
_atom_site_fract_y
_atom_site_fract_z
Ba1 Ba 0.0000 0.1302 0.2500
Zr1 Zr 0.0000 0.4977 0.2500
Se1 Se 0.1447 0.3389 0.6385
Se2 Se 0.2468 0.4310 0.2030

---

Record 4
# Ba2SbSe5 | Alexandria via LeMat-Bulk | GGA-PBE | optimized geometry
# **Size of the total moment**: 0.00 μB per cell
# **Uncorrected formation energy**: -101 kJ per mole of atoms
data_Ba2SbSe5
_symmetry_space_group_name_H-M 'I 4 m m'
_symmetry_Int_Tables_number 107
_symmetry_space_group_name_Hall 'I 4 -2'
_cell_length_a 7.6870
_cell_length_b 7.6870
_cell_length_c 8.4568
_cell_angle_alpha 90.00
_cell_angle_beta 90.00
_cell_angle_gamma 90.00
loop_
_atom_site_label
_atom_site_type_symbol
_atom_site_fract_x
_atom_site_fract_y
_atom_site_fract_z
Ba1 Ba 0.0000 0.5000 0.0000
Sb1 Sb 0.0000 0.0000 0.1826
Se1 Se 0.0000 0.0000 0.8440
Se2 Se 0.2467 0.2467 0.2541

---

Record 5
# Pm6BiIr2Se3 | Alexandria via LeMat-Bulk | GGA-PBE | optimized geometry
# **Size of the total moment**: 0.00 μB per cell
# **Uncorrected formation energy**: -120 kJ per mole of atoms
data_Pm6BiIr2Se3
_symmetry_space_group_name_H-M 'C 1 2/m 1'
_symmetry_Int_Tables_number 12
_symmetry_space_group_name_Hall '-C 2y'
_cell_length_a 18.8097
_cell_length_b 4.2041
_cell_length_c 8.7465
_cell_angle_alpha 90.00
_cell_angle_beta 105.59
_cell_angle_gamma 90.00
loop_
_atom_site_label
_atom_site_type_symbol
_atom_site_fract_x
_atom_site_fract_y
_atom_site_fract_z
Pm1 Pm 0.0111 0.0000 0.2683
Pm2 Pm 0.1750 0.5000 0.1129
Pm3 Pm 0.1748 0.5000 0.5711
Bi1 Bi 0.0000 0.5000 0.0000
Ir1 Ir 0.1688 0.0000 0.3360
Se1 Se 0.0000 0.5000 0.5000
Se2 Se 0.1604 0.0000 0.8368

---

Record 6
# Li2MgRe | Alexandria via LeMat-Bulk | GGA-PBE | optimized geometry
# **Size of the total moment**: 0.00 μB per cell
# **Raw total energy**: -4.1097 eV/atom
data_Li2MgRe
_symmetry_space_group_name_H-M 'P m m 2'
_symmetry_Int_Tables_number 25
_symmetry_space_group_name_Hall 'P 2 -2'
_cell_length_a 2.5939
_cell_length_b 4.4413
_cell_length_c 5.6137
_cell_angle_alpha 90.00
_cell_angle_beta 90.00
_cell_angle_gamma 90.00
loop_
_atom_site_label
_atom_site_type_symbol
_atom_site_fract_x
_atom_site_fract_y
_atom_site_fract_z
Li1 Li 0.0000 0.0000 0.0000
Li2 Li 0.5000 0.5000 0.2540
Mg1 Mg 0.0000 0.0000 0.5410
Re1 Re 0.5000 0.5000 0.7589

---

Record 7
# HfFeS2 | Alexandria via LeMat-Bulk | GGA-PBE | optimized geometry
# **Size of the total moment**: 8.69 μB per cell
# **Uncorrected formation energy**: -58 kJ per mole of atoms
data_HfFeS2
_symmetry_space_group_name_H-M 'F m -3 m'
_symmetry_Int_Tables_number 225
_symmetry_space_group_name_Hall '-F 4 2 3'
_cell_length_a 6.2073
_cell_length_b 6.2073
_cell_length_c 6.2073
_cell_angle_alpha 90.00
_cell_angle_beta 90.00
_cell_angle_gamma 90.00
loop_
_atom_site_label
_atom_site_type_symbol
_atom_site_fract_x
_atom_site_fract_y
_atom_site_fract_z
Hf1 Hf 0.0000 0.0000 0.0000
Fe1 Fe 0.0000 0.0000 0.5000
S1 S 0.2500 0.2500 0.2500

---

Record 8
# Y2Si3Ir2 | Alexandria via LeMat-Bulk | GGA-PBE | optimized geometry
# **Size of the total moment**: 0.00 μB per cell
# **Uncorrected formation energy**: -88 kJ per mole of atoms
data_Y2Si3Ir2
_symmetry_space_group_name_H-M 'C m c m'
_symmetry_Int_Tables_number 63
_symmetry_space_group_name_Hall '-C 2c 2'
_cell_length_a 4.1028
_cell_length_b 17.3912
_cell_length_c 6.9736
_cell_angle_alpha 90.00
_cell_angle_beta 90.00
_cell_angle_gamma 90.00
loop_
_atom_site_label
_atom_site_type_symbol
_atom_site_fract_x
_atom_site_fract_y
_atom_site_fract_z
Y1 Y 0.0000 0.0578 0.2500
Y2 Y 0.0000 0.1541 0.7500
Si1 Si 0.0000 0.2269 0.2500
Si2 Si 0.0000 0.4384 0.0711
Ir1 Ir 0.0000 0.3090 0.5500

---

Record 9
# TaVSb3 | Alexandria via LeMat-Bulk | GGA-PBE | optimized geometry
# **Size of the total moment**: 3.29 μB per cell
# **Uncorrected formation energy**: 102 kJ per mole of atoms
data_TaVSb3
_symmetry_space_group_name_H-M 'P m -3 m'
_symmetry_Int_Tables_number 221
_symmetry_space_group_name_Hall '-P 4 2 3'
_cell_length_a 5.0672
_cell_length_b 5.0672
_cell_length_c 5.0672
_cell_angle_alpha 90.00
_cell_angle_beta 90.00
_cell_angle_gamma 90.00
loop_
_atom_site_label
_atom_site_type_symbol
_atom_site_fract_x
_atom_site_fract_y
_atom_site_fract_z
Ta1 Ta 0.0000 0.0000 0.0000
V1 V 0.5000 0.5000 0.5000
Sb1 Sb 0.0000 0.5000 0.5000

---

size of the total moment of number 9 (TaVSb3)?
3.29 μB per cell